Compound: Tm8Tl2Ir3
Source: the Alexandria database
Functional: PBE
Structure: optimized geometry

Lattice parameters (Å, degrees): 6.688 7.562 8.921 115.08 107.19 90.00
Fractional coordinates of all 13 atoms:
Tm 0.962 0.635 0.270
Tm 0.038 0.365 0.730
Tm 0.921 0.089 0.177
Tm 0.079 0.911 0.823
Tm 0.594 0.649 0.808
Tm 0.594 0.159 0.808
Tm 0.406 0.841 0.192
Tm 0.406 0.351 0.192
Tl 0.356 0.248 0.496
Tl 0.644 0.752 0.504
Ir 0.500 0.000 0.000
Ir 0.000 0.300 0.000
Ir 0.000 0.700 0.000

Computed properties:
Crystal system: monoclinic
Space group: No. 12
M_tot in μB per formula unit: 0.0
ΔH_f (0 K) in meV per atom: -445
Distance to the lowest polymorph of the same formula in eV per atom: 0.093

Compound: PrTiBe
Source: the Alexandria database
Functional: PBE
Structure: optimized geometry

Lattice parameters (Å, degrees): 4.588 3.243 11.439 90.00 90.00 135.01
Fractional coordinates of all 6 atoms:
Be 0.694 0.389 0.000
Be 0.194 0.389 0.500
Pr 0.695 0.389 0.323
Pr 0.695 0.389 0.677
Ti 0.194 0.389 0.887
Ti 0.194 0.389 0.113

Computed properties:
Crystal system: tetragonal
Space group: No. 123
M_tot in μB per formula unit: 0.0
ΔH_f (0 K) in meV per atom: 272

Compound: DyPaTl2Se4
Source: the Alexandria database
Functional: PBE
Structure: optimized geometry

Lattice parameters (Å, degrees): 4.126 7.229 8.275 106.31 90.00 90.00
Last column: magnetic moment on the atom in μB.
Fractional coordinates of all 8 atoms:
Dy 0.000 0.000 0.000  0.16
Pa 0.500 0.500 0.000  1.37
Tl 0.500 0.000 0.500  0.01
Tl 0.000 0.500 0.500  0.02
Se 0.500 0.234 0.204  -0.01
Se 0.500 0.766 0.796  -0.01
Se 0.000 0.264 0.792  -0.02
Se 0.000 0.736 0.208  -0.02

Computed properties:
Crystal system: monoclinic
Space group: No. 10
Energy relative to the elements, uncorrected in eV/atom: -1.15
M_tot in μB per formula unit: 2.0

Compound: SrMgBN2
Source: the Alexandria database
Functional: PBE
Structure: optimized geometry

Lattice parameters (Å, degrees): 4.147 5.811 6.205 103.68 90.00 90.00
Fractional coordinates of all 10 atoms:
Sr 0.225 0.500 0.750
Sr 0.775 0.500 0.250
Mg 0.480 0.000 0.250
Mg 0.520 0.000 0.750
B 0.000 0.000 0.000
B 0.000 0.000 0.500
N 0.772 0.822 0.967
N 0.772 0.178 0.533
N 0.228 0.822 0.467
N 0.228 0.178 0.033

Computed properties:
Crystal system: monoclinic
Space group: No. 13
Energy relative to the elements, uncorrected in eV/atom: -0.62
M_tot in μB per formula unit: 0.0

Compound: TbDy2Al
Source: the Alexandria database
Functional: PBE
Structure: optimized geometry

Lattice parameters (Å, degrees): 3.508 3.508 9.034 90.00 90.00 90.00
Fractional coordinates of all 4 atoms:
Tb 0.500 0.500 0.500
Al 0.500 0.500 0.000
Dy 0.000 0.000 0.786
Dy 0.000 0.000 0.214

Computed properties:
Crystal system: tetragonal
Space group: No. 123
M_tot in μB per formula unit: 0.0
ΔH_f (0 K) in meV per atom: -186
Distance to the lowest polymorph of the same formula in eV per atom: 0.013

Compound: La3ZnW
Source: the Alexandria database
Functional: PBE
Structure: optimized geometry

Lattice parameters (Å, degrees): 5.573 5.573 5.573 90.00 90.00 90.00
Fractional coordinates of all 5 atoms:
Zn 0.500 0.500 0.500
W 0.000 0.000 0.000
La 0.000 0.500 0.000
La 0.000 0.000 0.500
La 0.500 0.000 0.000

Computed properties:
Crystal system: cubic
Space group: No. 221
M_tot in μB per formula unit: 0.0
ΔH_f (0 K) in meV per atom: 451
Distance to the lowest polymorph of the same formula in eV per atom: 0.000

What did the third record say?
Compound: DyPaTl2Se4
Source: the Alexandria database
Functional: PBE
Structure: optimized geometry

Lattice parameters (Å, degrees): 4.126 7.229 8.275 106.31 90.00 90.00
Last column: magnetic moment on the atom in μB.
Fractional coordinates of all 8 atoms:
Dy 0.000 0.000 0.000  0.16
Pa 0.500 0.500 0.000  1.37
Tl 0.500 0.000 0.500  0.01
Tl 0.000 0.500 0.500  0.02
Se 0.500 0.234 0.204  -0.01
Se 0.500 0.766 0.796  -0.01
Se 0.000 0.264 0.792  -0.02
Se 0.000 0.736 0.208  -0.02

Computed properties:
Crystal system: monoclinic
Space group: No. 10
Energy relative to the elements, uncorrected in eV/atom: -1.15
M_tot in μB per formula unit: 2.0